# 1
Density functional theory data (PBE) for a geometry-optimized Dy2TcNi structure.

Cell and atoms, written as CIF:
```
data_Dy2TcNi
_chemical_formula_sum 'Dy2 Tc1 Ni1'
_symmetry_space_group_name_H-M 'P 1'
_symmetry_Int_Tables_number 1
_symmetry_space_group_name_Hall 'P 1'
_cell_length_a 3.436
_cell_length_b 3.436
_cell_length_c 6.683
_cell_angle_alpha 90.00
_cell_angle_beta 90.00
_cell_angle_gamma 90.00
loop_
_atom_site_label
_atom_site_fract_x
_atom_site_fract_y
_atom_site_fract_z
Dy1 0.000 0.000 0.249
Dy2 0.000 0.000 0.751
Tc1 0.500 0.500 0.500
Ni1 0.500 0.500 0.000
```

Calculated total energy (eV per atom): -6.487
ΔH_f (0 K) (meV per atom): -149
Total moment (μB per atom): 0.0002



# 2
Density functional theory data (PBE) for a geometry-optimized Ce5Ge structure.

Cell and atoms, written as CIF:
```
data_Ce5Ge
_chemical_formula_sum 'Ce5 Ge1'
_symmetry_space_group_name_H-M 'P 1'
_symmetry_Int_Tables_number 1
_symmetry_space_group_name_Hall 'P 1'
_cell_length_a 7.260
_cell_length_b 7.260
_cell_length_c 4.849
_cell_angle_alpha 90.00
_cell_angle_beta 90.00
_cell_angle_gamma 145.71
loop_
_atom_site_label
_atom_site_fract_x
_atom_site_fract_y
_atom_site_fract_z
Ce1 0.000 0.000 0.000
Ce2 0.175 0.825 0.500
Ce3 0.351 0.649 0.000
Ce4 0.649 0.351 0.000
Ce5 0.825 0.175 0.500
Ge1 0.500 0.500 0.500
```

Calculated total energy (eV per atom): -5.936
ΔH_f (0 K) (meV per atom): -222
Total moment (μB per atom): 0.0001



# 3
Density functional theory data (PBE) for a geometry-optimized Dy2Mg3Cu2 structure.

Cell and atoms, written as CIF:
```
data_Dy2Mg3Cu2
_chemical_formula_sum 'Dy2 Mg3 Cu2'
_symmetry_space_group_name_H-M 'P 1'
_symmetry_Int_Tables_number 1
_symmetry_space_group_name_Hall 'P 1'
_cell_length_a 5.596
_cell_length_b 5.596
_cell_length_c 7.555
_cell_angle_alpha 96.33
_cell_angle_beta 96.33
_cell_angle_gamma 40.90
loop_
_atom_site_label
_atom_site_fract_x
_atom_site_fract_y
_atom_site_fract_z
Dy1 0.126 0.126 0.362
Dy2 0.874 0.874 0.638
Mg1 0.186 0.186 0.858
Mg2 0.500 0.500 0.000
Mg3 0.814 0.814 0.142
Cu1 0.417 0.417 0.361
Cu2 0.583 0.583 0.639
```

Calculated total energy (eV per atom): -3.340
ΔH_f (0 K) (meV per atom): -171
Total moment (μB per atom): 0.0000



# 4
Density functional theory data (PBE) for a geometry-optimized BaCu6Ge4 structure.

Cell and atoms, written as CIF:
```
data_BaCu6Ge4
_chemical_formula_sum 'Ba1 Cu6 Ge4'
_symmetry_space_group_name_H-M 'P 1'
_symmetry_Int_Tables_number 1
_symmetry_space_group_name_Hall 'P 1'
_cell_length_a 7.086
_cell_length_b 7.086
_cell_length_c 4.185
_cell_angle_alpha 90.00
_cell_angle_beta 90.00
_cell_angle_gamma 120.00
loop_
_atom_site_label
_atom_site_fract_x
_atom_site_fract_y
_atom_site_fract_z
Ba1 0.000 0.000 0.000
Cu1 0.213 0.425 0.500
Cu2 0.213 0.787 0.500
Cu3 0.540 0.081 0.000
Cu4 0.540 0.460 0.000
Cu5 0.575 0.787 0.500
Cu6 0.919 0.460 0.000
Ge1 0.333 0.667 0.000
Ge2 0.401 0.201 0.500
Ge3 0.799 0.201 0.500
Ge4 0.799 0.599 0.500
```

Calculated total energy (eV per atom): -4.155
ΔH_f (0 K) (meV per atom): -67
Total moment (μB per atom): 0.0000



# 5
Density functional theory data (PBE) for a geometry-optimized Al2Ag2F7 structure.

Cell and atoms, written as CIF:
```
data_Al2Ag2F7
_chemical_formula_sum 'Al2 Ag2 F7'
_symmetry_space_group_name_H-M 'P 1'
_symmetry_Int_Tables_number 1
_symmetry_space_group_name_Hall 'P 1'
_cell_length_a 5.107
_cell_length_b 5.107
_cell_length_c 7.449
_cell_angle_alpha 96.74
_cell_angle_beta 96.74
_cell_angle_gamma 109.47
loop_
_atom_site_label
_atom_site_fract_x
_atom_site_fract_y
_atom_site_fract_z
Al1 0.244 0.244 0.097
Al2 0.756 0.756 0.903
Ag1 0.172 0.828 0.500
Ag2 0.828 0.172 0.500
F1 0.072 0.072 0.869
F2 0.132 0.476 0.221
F3 0.476 0.132 0.221
F4 0.500 0.500 0.000
F5 0.524 0.868 0.779
F6 0.868 0.524 0.779
F7 0.928 0.928 0.131
```

Calculated total energy (eV per atom): -4.904
Total moment (μB per atom): 0.0000



# 6
Density functional theory data (PBE) for a geometry-optimized ErTi4 structure.

Cell and atoms, written as CIF:
```
data_ErTi4
_chemical_formula_sum 'Er1 Ti4'
_symmetry_space_group_name_H-M 'P 1'
_symmetry_Int_Tables_number 1
_symmetry_space_group_name_Hall 'P 1'
_cell_length_a 4.777
_cell_length_b 4.777
_cell_length_c 4.777
_cell_angle_alpha 90.00
_cell_angle_beta 90.00
_cell_angle_gamma 90.00
loop_
_atom_site_label
_atom_site_fract_x
_atom_site_fract_y
_atom_site_fract_z
Er1 0.000 0.000 0.000
Ti1 0.000 0.000 0.500
Ti2 0.000 0.500 0.000
Ti3 0.500 0.000 0.000
Ti4 0.500 0.500 0.500
```

Calculated total energy (eV per atom): -5.785
ΔH_f (0 K) (meV per atom): 1443
Total moment (μB per atom): 0.0031